Entry 1:
Pm2Dy3Hg, relaxed, DFT PBE; total energy = -0.1502 Ha/atom; formation energy from the elements = -0.1520 eV per atom; symmetry = P4/mmm; crystal system = tetragonal; DOS(E_F) = 1.27 states/eV per atom
1.0
3.609 0.000 0.000
0.000 3.609 0.000
0.000 0.000 14.082
Pm Dy Hg
2 3 1
Direct
0.000 0.000 0.180
0.000 0.000 0.820
0.500 0.500 0.000
0.500 0.500 0.359
0.500 0.500 0.641
0.000 0.000 0.500


Entry 2:
PmDy4Hg, relaxed, DFT PBE; total energy = -0.1489 Ha/atom; formation energy from the elements = -0.1428 eV per atom; symmetry = P4/mmm; crystal system = tetragonal; DOS(E_F) = 1.41 states/eV per atom
1.0
3.592 0.000 0.000
0.000 3.592 0.000
0.000 0.000 14.033
Pm Dy Hg
1 4 1
Direct
0.000 0.000 0.000
0.000 0.000 0.358
0.000 0.000 0.642
0.500 0.500 0.180
0.500 0.500 0.820
0.500 0.500 0.500


Entry 3:
Pm4DyHg, relaxed, DFT PBE; total energy = -0.1483 Ha/atom; formation energy from the elements = -0.0513 eV per atom; symmetry = C2/c; crystal system = monoclinic; DOS(E_F) = 1.36 states/eV per atom
1.0
4.467 -7.068 0.000
4.467 7.068 0.000
-2.123 0.000 6.119
Pm Dy Hg
8 2 2
Direct
0.090 0.712 0.952
0.168 0.399 0.624
0.288 0.910 0.548
0.399 0.168 0.124
0.601 0.832 0.876
0.712 0.090 0.452
0.832 0.601 0.376
0.910 0.288 0.048
0.408 0.592 0.250
0.592 0.408 0.750
0.001 0.999 0.250
0.999 0.001 0.750


Entry 4:
PmDy6Hg2, relaxed, DFT PBE; total energy = -0.1421 Ha/atom; formation energy from the elements = -0.2046 eV per atom; symmetry = C2/m; crystal system = monoclinic; DOS(E_F) = 1.04 states/eV per atom
1.0
6.314 -1.869 0.000
6.314 1.869 0.000
-3.781 0.000 11.253
Pm Dy Hg
1 6 2
Direct
0.000 0.000 0.000
0.016 0.016 0.339
0.312 0.312 0.125
0.313 0.313 0.417
0.687 0.687 0.583
0.688 0.688 0.875
0.984 0.984 0.661
0.352 0.352 0.786
0.648 0.648 0.214


Entry 5:
Pm4Dy9Hg11, relaxed, DFT PBE; total energy = -0.1113 Ha/atom; formation energy from the elements = -0.3731 eV per atom; symmetry = Cmmm; crystal system = orthorhombic; DOS(E_F) = 1.09 states/eV per atom
1.0
7.971 -11.218 0.000
7.971 11.218 0.000
0.000 0.000 3.575
Pm Dy Hg
4 9 11
Direct
0.078 0.247 0.000
0.247 0.078 0.000
0.753 0.922 0.000
0.922 0.753 0.000
0.000 0.000 0.000
0.118 0.649 0.000
0.295 0.480 0.000
0.351 0.882 0.000
0.480 0.295 0.000
0.520 0.705 0.000
0.649 0.118 0.000
0.705 0.520 0.000
0.882 0.351 0.000
0.090 0.449 0.500
0.132 0.868 0.500
0.286 0.286 0.500
0.319 0.681 0.500
0.449 0.090 0.500
0.500 0.500 0.500
0.551 0.910 0.500
0.681 0.319 0.500
0.714 0.714 0.500
0.868 0.132 0.500
0.910 0.551 0.500


Entry 6:
Pm2DyHg2, relaxed, DFT PBE; total energy = -0.1214 Ha/atom; formation energy from the elements = -0.3628 eV per atom; symmetry = P4/mbm; crystal system = tetragonal; DOS(E_F) = 0.96 states/eV per atom
1.0
8.625 0.000 0.000
0.000 8.625 0.000
0.000 0.000 3.917
Pm Dy Hg
4 2 4
Direct
0.166 0.334 0.000
0.334 0.834 0.000
0.666 0.166 0.000
0.834 0.666 0.000
0.000 0.000 0.500
0.500 0.500 0.500
0.133 0.633 0.500
0.367 0.133 0.500
0.633 0.867 0.500
0.867 0.367 0.500